YCuPb | PBE | optimized geometry

Lattice parameters (Å, degrees): 5.323 5.323 5.323 139.91 130.57 65.46
Fractional coordinates of all 3 atoms:
Cu 0.992 0.992 0.000
Pb 0.672 0.672 0.000
Y 0.336 0.336 0.000

Results
* energy of formation: -3.80 kJ/mol of atoms
* uncorrected energy: -14.39 eV/f.u.